# LaTc2Rh2 | the Alexandria database | PBE | optimized geometry
# - Offset from the most stable computed form: 0.0000 eV per atom
# - Volume: 191.8 Å³/cell
# - Space-group type: I4/mmm, No. 139
# - ΔE_f: -0.042 eV per atom
# - DOS at the Fermi energy: 10.3 states/eV per cell
# - Electronic total energy: -8.1146 eV/atom
data_LaTc2Rh2
_symmetry_space_group_name_H-M 'P 1'
_symmetry_Int_Tables_number 1
_symmetry_space_group_name_Hall 'P 1'
_cell_length_a 4.269
_cell_length_b 4.269
_cell_length_c 10.527
_cell_angle_alpha 90.00
_cell_angle_beta 90.00
_cell_angle_gamma 90.00
loop_
_atom_site_label
_atom_site_fract_x
_atom_site_fract_y
_atom_site_fract_z
La1 0.000 0.000 0.000
La2 0.500 0.500 0.500
Tc1 0.000 0.000 0.393
Tc2 0.000 0.000 0.607
Tc3 0.500 0.500 0.107
Tc4 0.500 0.500 0.893
Rh1 0.000 0.500 0.250
Rh2 0.000 0.500 0.750
Rh3 0.500 0.000 0.250
Rh4 0.500 0.000 0.750